# 1
VASP calculation (GGA-PBE) on a relaxed BeRuSe2 crystal.

Output
- Energy relative to the elements, uncorrected: 376 meV per atom

Cell lengths 4.449, 4.498, 4.441 Å; angles 66.45, 79.01, 113.61 degrees
Positions (direct):
Se: 0.500 0.000 0.500
Se: 0.000 0.000 0.000
Be: 0.000 0.500 0.500
Ru: 0.500 0.500 0.000

# 2
VASP calculation (GGA-PBE) on a relaxed Ta2CoPt crystal.

Output
- ΔH_f (0 K): 310 meV per atom

Cell lengths 3.975, 3.975, 9.182 Å; angles 77.50, 77.50, 90.00 degrees
Positions (direct):
Ta: 0.134 0.625 0.250
Ta: 0.875 0.866 0.750
Ta: 0.616 0.125 0.250
Ta: 0.375 0.384 0.750
Co: 0.250 0.750 0.500
Co: 0.500 0.500 0.000
Pt: 0.750 0.250 0.500
Pt: 0.000 0.000 0.000

# 3
VASP calculation (GGA-PBE) on a relaxed PmNdRuPt crystal.

Output
- ΔH_f (0 K): -576 meV per atom

Cell lengths 5.021, 5.021, 5.021 Å; angles 60.00, 60.00, 60.00 degrees
Positions (direct):
Pm: 0.000 0.000 0.000
Nd: 0.500 0.500 0.500
Ru: 0.250 0.250 0.250
Pt: 0.750 0.750 0.750

# 4
VASP calculation (GGA-PBE) on a relaxed LiPRu4 crystal.

Output
- ΔH_f (0 K): 655 meV per atom

Cell lengths 5.089, 5.089, 5.089 Å; angles 60.00, 60.00, 60.00 degrees
Each line ends with the local moment (μB).
Positions (direct):
Ru: 0.375 0.876 0.375  0.63
Ru: 0.375 0.375 0.375  0.63
Ru: 0.375 0.375 0.876  0.63
Ru: 0.876 0.375 0.375  0.63
P: 0.000 0.000 0.000  -0.02
Li: 0.750 0.750 0.750  -0.01

# 5
VASP calculation (GGA-PBE) on a relaxed Ga2GeAu2 crystal.

Output
- ΔH_f (0 K): 11 meV per atom
- Energy above the most stable polymorph in this dataset: 16 meV per atom

Cell lengths 3.902, 3.902, 6.935 Å; angles 73.66, 73.66, 90.00 degrees
Positions (direct):
Ga: 0.250 0.750 0.500
Ga: 0.750 0.250 0.500
Au: 0.608 0.608 0.785
Au: 0.392 0.392 0.215
Ge: 0.000 0.000 0.000

# 6
VASP calculation (GGA-PBE) on a relaxed TmGaC crystal.

Output
- ΔH_f (0 K): -206 meV per atom
- Energy above the most stable polymorph in this dataset: 0 meV per atom

Cell lengths 4.724, 3.452, 3.452 Å; angles 120.00, 90.00, 90.00 degrees
Positions (direct):
C: 0.351 0.333 0.667
Ga: 0.566 0.667 0.333
Tm: 0.083 0.000 0.000

# 7
VASP calculation (GGA-PBE) on a relaxed NpTl2Se2Cl2 crystal.

Output
- Energy relative to the elements, uncorrected: -1018 meV per atom

Cell lengths 5.554, 5.554, 8.885 Å; angles 108.21, 108.21, 90.00 degrees
Each line ends with the local moment (μB).
Positions (direct):
Se: 0.000 0.500 0.000  -0.12
Se: 0.500 0.000 0.000  -0.12
Tl: 0.374 0.374 0.748  0.00
Tl: 0.626 0.626 0.252  0.00
Cl: 0.165 0.165 0.331  -0.04
Cl: 0.835 0.835 0.669  -0.04
Np: 0.000 0.000 0.000  3.31

# 8
VASP calculation (GGA-PBE) on a relaxed CsNdCuTe3 crystal.

Output
- Energy relative to the elements, uncorrected: -862 meV per atom

Cell lengths 5.323, 8.959, 9.936 Å; angles 100.63, 89.98, 107.22 degrees
Positions (direct):
Nd: 0.357 0.713 0.456
Nd: 0.643 0.287 0.544
Cs: 0.648 0.295 0.048
Cs: 0.352 0.705 0.952
Te: 0.500 0.000 0.291
Te: 0.830 0.661 0.659
Te: 0.861 0.722 0.263
Te: 0.139 0.278 0.737
Te: 0.170 0.339 0.341
Te: 0.500 0.000 0.709
Cu: 0.015 0.030 0.310
Cu: 0.985 0.970 0.690

# 9
VASP calculation (GGA-PBE) on a relaxed Ac3Ge4Pd4 crystal.

Output
- ΔH_f (0 K): -879 meV per atom

Cell lengths 4.503, 4.406, 13.139 Å; angles 99.65, 99.87, 90.00 degrees
Positions (direct):
Pd: 0.249 0.249 0.498
Pd: 0.751 0.751 0.502
Pd: 0.098 0.598 0.196
Pd: 0.902 0.402 0.804
Ge: 0.801 0.301 0.602
Ge: 0.450 0.450 0.900
Ge: 0.550 0.550 0.100
Ge: 0.199 0.699 0.398
Ac: 0.000 0.000 0.000
Ac: 0.351 0.851 0.702
Ac: 0.649 0.149 0.298

# 10
VASP calculation (GGA-PBE) on a relaxed Sr2BOsPd crystal.

Output
- ΔH_f (0 K): 1270 meV per atom

Cell lengths 5.762, 4.737, 5.762 Å; angles 90.00, 90.00, 90.00 degrees
Positions (direct):
Pd: 0.000 0.500 0.000
B: 0.500 0.500 0.500
Sr: 0.000 0.000 0.500
Sr: 0.500 0.000 0.000
Os: 0.000 0.000 0.000

# 11
VASP calculation (GGA-PBE) on a relaxed Sm3Ho4Sc crystal.

Output
- ΔH_f (0 K): 25 meV per atom
- Energy above the most stable polymorph in this dataset: 0 meV per atom

Cell lengths 6.222, 7.222, 11.233 Å; angles 90.00, 90.00, 90.00 degrees
Positions (direct):
Ho: 0.146 0.876 0.500
Ho: 0.984 0.125 0.245
Ho: 0.151 0.875 0.000
Ho: 0.484 0.875 0.745
Ho: 0.651 0.125 0.500
Ho: 0.646 0.124 0.000
Ho: 0.484 0.875 0.255
Ho: 0.984 0.125 0.755
Sc: 0.145 0.372 0.000
Sc: 0.645 0.628 0.500
Sm: 0.148 0.374 0.500
Sm: 0.479 0.376 0.750
Sm: 0.479 0.376 0.250
Sm: 0.648 0.626 0.000
Sm: 0.979 0.624 0.750
Sm: 0.979 0.624 0.250

# 12
VASP calculation (GGA-PBE) on a relaxed LaZr2Pa crystal.

Output
- ΔH_f (0 K): 154 meV per atom
- Energy above the most stable polymorph in this dataset: 0 meV per atom

Cell lengths 3.883, 3.883, 7.292 Å; angles 90.00, 90.00, 90.00 degrees
Positions (direct):
La: 0.500 0.500 0.500
Pa: 0.500 0.500 0.000
Zr: 0.000 0.000 0.201
Zr: 0.000 0.000 0.799

# 13
VASP calculation (GGA-PBE) on a relaxed Rb2BaIrO5 crystal.

Output
- Energy relative to the elements, uncorrected: -1435 meV per atom

Cell lengths 3.935, 6.069, 7.623 Å; angles 113.46, 104.96, 90.00 degrees
Each line ends with the local moment (μB).
Positions (direct):
O: 0.398 0.666 0.797  0.22
O: 0.602 0.334 0.203  0.22
O: 0.000 0.000 0.000  0.19
O: 0.602 0.869 0.203  0.22
O: 0.398 0.131 0.797  0.22
Rb: 0.218 0.218 0.436  0.01
Rb: 0.782 0.782 0.564  0.01
Ba: 0.000 0.500 0.000  0.03
Ir: 0.500 0.000 0.000  1.35

# 14
VASP calculation (GGA-PBE) on a relaxed Pr2In5AgRh2 crystal.

Output
- ΔH_f (0 K): -450 meV per atom

Cell lengths 4.421, 10.194, 10.194 Å; angles 90.00, 90.00, 90.00 degrees
Positions (direct):
In: 0.500 0.794 0.936
In: 0.500 0.936 0.206
In: 0.500 0.436 0.294
In: 0.500 0.564 0.706
In: 0.500 0.294 0.564
In: 0.500 0.000 0.500
In: 0.500 0.500 0.000
In: 0.500 0.064 0.794
In: 0.500 0.206 0.064
In: 0.500 0.706 0.436
Rh: 0.000 0.383 0.117
Rh: 0.000 0.117 0.617
Rh: 0.000 0.883 0.383
Rh: 0.000 0.617 0.883
Pr: 0.000 0.821 0.679
Pr: 0.000 0.321 0.821
Pr: 0.000 0.679 0.179
Pr: 0.000 0.179 0.321
Ag: 0.000 0.500 0.500
Ag: 0.000 0.000 0.000

# 15
VASP calculation (GGA-PBE) on a relaxed SrMg2Ga crystal.

Output
- ΔH_f (0 K): -81 meV per atom

Cell lengths 3.610, 3.610, 8.268 Å; angles 90.00, 90.00, 90.00 degrees
Positions (direct):
Mg: 0.000 0.000 0.809
Mg: 0.000 0.000 0.191
Ga: 0.500 0.500 0.000
Sr: 0.500 0.500 0.500

# 16
VASP calculation (GGA-PBE) on a relaxed Ac2BePt4Au2 crystal.

Output
- ΔH_f (0 K): -732 meV per atom

Cell lengths 6.326, 6.326, 6.326 Å; angles 92.29, 118.69, 118.69 degrees
Positions (direct):
Au: 0.000 0.720 0.720
Au: 0.000 0.280 0.280
Ac: 0.500 0.250 0.750
Ac: 0.500 0.750 0.250
Pt: 0.511 0.256 0.256
Pt: 0.489 0.744 0.744
Pt: 0.000 0.744 0.256
Pt: 0.000 0.256 0.744
Be: 0.000 0.000 0.000

# 17
VASP calculation (GGA-PBE) on a relaxed K3Be2Cl8 crystal.

Output
- Energy relative to the elements, uncorrected: -1533 meV per atom

Cell lengths 6.830, 6.830, 9.544 Å; angles 69.03, 69.03, 60.00 degrees
Each line ends with the local moment (μB).
Positions (direct):
Be: 0.409 0.409 0.772  0.00
Be: 0.591 0.591 0.228  0.00
K: 0.791 0.791 0.626  0.00
K: 0.209 0.209 0.374  0.00
K: 0.000 0.000 0.000  0.00
Cl: 0.668 0.668 0.995  0.17
Cl: 0.332 0.332 0.005  0.17
Cl: 0.727 0.727 0.304  0.08
Cl: 0.242 0.727 0.304  0.08
Cl: 0.273 0.273 0.696  0.08
Cl: 0.727 0.242 0.304  0.08
Cl: 0.758 0.273 0.696  0.08
Cl: 0.273 0.758 0.696  0.08

# 18
VASP calculation (GGA-PBE) on a relaxed Ir2WSe crystal.

Output
- Energy above the most stable polymorph in this dataset: 354 meV per atom
- Energy relative to the elements, uncorrected: 438 meV per atom

Cell lengths 4.843, 4.843, 4.843 Å; angles 131.59, 131.59, 70.87 degrees
Positions (direct):
Ir: 0.500 0.500 0.000
Ir: 0.000 0.000 0.000
Se: 0.250 0.750 0.500
W: 0.750 0.250 0.500

# 19
VASP calculation (GGA-PBE) on a relaxed ZnCd3Hg3 crystal.

Output
- ΔH_f (0 K): 68 meV per atom
- Energy above the most stable polymorph in this dataset: 0 meV per atom

Cell lengths 4.750, 8.867, 8.867 Å; angles 120.00, 90.00, 90.00 degrees
Positions (direct):
Hg: 0.250 0.914 0.178
Hg: 0.250 0.264 0.086
Hg: 0.750 0.178 0.264
Hg: 0.750 0.086 0.822
Hg: 0.250 0.822 0.736
Hg: 0.750 0.736 0.914
Cd: 0.250 0.501 0.894
Cd: 0.250 0.106 0.607
Cd: 0.250 0.393 0.499
Cd: 0.750 0.894 0.393
Cd: 0.750 0.607 0.501
Cd: 0.750 0.499 0.106
Zn: 0.250 0.667 0.333
Zn: 0.750 0.333 0.667

# 20
VASP calculation (GGA-PBE) on a relaxed Er2Zn16Os crystal.

Output
- ΔH_f (0 K): -173 meV per atom

Cell lengths 6.762, 6.762, 6.762 Å; angles 82.87, 82.87, 82.87 degrees
Positions (direct):
Zn: 0.359 0.359 0.836
Zn: 0.286 0.710 0.997
Zn: 0.997 0.286 0.710
Zn: 0.103 0.103 0.103
Zn: 0.646 0.149 0.646
Zn: 0.149 0.646 0.646
Zn: 0.505 0.996 0.996
Zn: 0.359 0.836 0.359
Zn: 0.996 0.505 0.996
Zn: 0.646 0.646 0.149
Zn: 0.836 0.359 0.359
Zn: 0.710 0.997 0.286
Zn: 0.996 0.996 0.505
Zn: 0.286 0.997 0.710
Zn: 0.710 0.286 0.997
Zn: 0.997 0.710 0.286
Os: 0.901 0.901 0.901
Er: 0.339 0.339 0.339
Er: 0.679 0.679 0.679

Values of final energy, in order: -4.617; -8.903; -6.785; -6.749; -3.434; -5.780; -5.066; -4.052; -5.567; -4.023; -4.825; -7.726; -5.603; -4.531; -2.055; -5.472; -3.496; -8.102; -0.636; -2.317, all in eV/atom.
Values of magnetic moment, in order: 0.000; 0.000; 0.000; 2.558; 0.000; 0.000; 3.000; 0.000; 0.000; 0.000; 0.001; 0.001; 2.873; 0.000; 0.000; 0.000; 1.081; 0.000; 0.000; 0.000, all in μB per formula unit.